# 1
# PBE-GGA NaBe2Cu2, optimized geometry
data_NaBe2Cu2
_chemical_formula_sum 'Na2 Be4 Cu4'
_cell_length_a 6.990
_cell_length_b 6.990
_cell_length_c 2.491
_cell_angle_alpha 90.00
_cell_angle_beta 90.00
_cell_angle_gamma 90.00
_symmetry_space_group_name_H-M 'P 4/m b m'
_symmetry_Int_Tables_number 127
_symmetry_space_group_name_Hall '-P 4 2ab'
loop_
_atom_site_label
_atom_site_type_symbol
_atom_site_fract_x
_atom_site_fract_y
_atom_site_fract_z
Na1 Na 0.000 0.000 0.000
Be1 Be 0.113 0.387 0.000
Cu1 Cu 0.174 0.674 0.500
# N(E_F)   2.22 states/eV/cell
# Formation enthalpy at 0 K   0.14 eV/atom
# E_tot   -3.257 eV per atom
# Calculated volume   61 Å³/f.u.

# 2
# PBE-GGA Na2Be2Cu, optimized geometry
data_Na2Be2Cu
_chemical_formula_sum 'Na4 Be4 Cu2'
_cell_length_a 3.542
_cell_length_b 3.542
_cell_length_c 13.401
_cell_angle_alpha 90.00
_cell_angle_beta 90.00
_cell_angle_gamma 90.00
_symmetry_space_group_name_H-M 'I 4/m m m'
_symmetry_Int_Tables_number 139
_symmetry_space_group_name_Hall '-I 4 2'
loop_
_atom_site_label
_atom_site_type_symbol
_atom_site_fract_x
_atom_site_fract_y
_atom_site_fract_z
Na1 Na 0.000 0.500 0.250
Be1 Be 0.000 0.000 0.076
Cu1 Cu 0.000 0.000 0.500
# N(E_F)   4.88 states/eV/cell
# Formation enthalpy at 0 K   0.91 eV/atom
# E_tot   -1.926 eV per atom
# Calculated volume   84 Å³/f.u.

# 3
# PBE-GGA NaBe2Cu2, optimized geometry
data_NaBe2Cu2
_chemical_formula_sum 'Na2 Be4 Cu4'
_cell_length_a 3.562
_cell_length_b 3.562
_cell_length_c 10.828
_cell_angle_alpha 90.00
_cell_angle_beta 90.00
_cell_angle_gamma 90.00
_symmetry_space_group_name_H-M 'I 4/m m m'
_symmetry_Int_Tables_number 139
_symmetry_space_group_name_Hall '-I 4 2'
loop_
_atom_site_label
_atom_site_type_symbol
_atom_site_fract_x
_atom_site_fract_y
_atom_site_fract_z
Na1 Na 0.000 0.000 0.000
Be1 Be 0.000 0.500 0.250
Cu1 Cu 0.000 0.000 0.380
# N(E_F)   2.71 states/eV/cell
# Formation enthalpy at 0 K   0.34 eV/atom
# E_tot   -3.055 eV per atom
# Calculated volume   69 Å³/f.u.

# 4
# PBE-GGA NaBe2Cu2, optimized geometry
data_NaBe2Cu2
_chemical_formula_sum 'Na2 Be4 Cu4'
_cell_length_a 7.075
_cell_length_b 7.075
_cell_length_c 2.456
_cell_angle_alpha 90.00
_cell_angle_beta 90.00
_cell_angle_gamma 90.00
_symmetry_space_group_name_H-M 'P 4/m b m'
_symmetry_Int_Tables_number 127
_symmetry_space_group_name_Hall '-P 4 2ab'
loop_
_atom_site_label
_atom_site_type_symbol
_atom_site_fract_x
_atom_site_fract_y
_atom_site_fract_z
Na1 Na 0.000 0.000 0.000
Be1 Be 0.164 0.336 0.500
Cu1 Cu 0.128 0.628 0.000
# N(E_F)   2.78 states/eV/cell
# Formation enthalpy at 0 K   0.17 eV/atom
# E_tot   -3.221 eV per atom
# Calculated volume   61 Å³/f.u.